(1)
Material: CuNi4P2
Method: DFT, GGA-PBE
State: relaxed

DFT formation energy (eV per atom): -0.361
Theoretical density (kg/m3): 7378
Total magnetization (Bohr magnetons per cell): 0.0
Electronic total energy (eV/cell): -162.3

Lattice parameters (Å, degrees): 14.708 3.550 6.212 90.00 90.00 90.00
Space group Pnma (No. 62)
One atom of each set of equivalent atoms:
Cu  0.145  0.250  0.006 x4
Ni  0.029  0.750  0.873 x4
Ni  0.071  0.250  0.497 x4
Ni  0.187  0.750  0.302 x4
Ni  0.189  0.750  0.710 x4
P  0.040  0.750  0.248 x4
P  0.229  0.250  0.507 x4

***

(2)
Material: MnNbRu2
Method: DFT, GGA-PBE
State: relaxed

DFT formation energy (eV per atom): 0.102
Theoretical density (kg/m3): 10142
Total magnetization (Bohr magnetons per cell): 0.5
Electronic total energy (eV/cell): -112.1
ΔE to the lowest computed polymorph (meV/atom): 270

Lattice parameters (Å, degrees): 2.7413 2.7413 26.4139 90.00 90.00 120.00
Space group R3m (No. 160, hexagonal axes)
One atom of each set of equivalent atoms:
Mn  0.0000  0.0000  0.0000 x3
Nb  0.0000  0.0000  0.1664 x3
Ru  0.0000  0.0000  0.5917 x3
Ru  0.0000  0.0000  0.7407 x3

***

(3)
Material: SrCd3In3
Method: DFT, GGA-PBE
State: relaxed

DFT formation energy (eV per atom): 0.137
Theoretical density (kg/m3): 5048
Total magnetization (Bohr magnetons per cell): 0.0
Electronic total energy (eV/cell): -23.4
ΔE to the lowest computed polymorph (meV/atom): 287

Lattice parameters (Å, degrees): 7.969 7.969 7.969 90.00 90.00 90.00
Space group Pm-3n (No. 223)
One atom of each set of equivalent atoms:
Sr  0.000  0.000  0.000 x2
Cd  0.000  0.250  0.500 x6
In  0.000  0.500  0.250 x6

***

(4)
Material: AcPrHo2Sb4
Method: DFT, GGA-PBE
State: relaxed

Theoretical density (kg/m3): 7496
ΔE_f (raw) (eV/atom): -1.137
Total magnetization (Bohr magnetons per cell): 0.0
Electronic total energy (eV/cell): -43.6

Lattice parameters (Å, degrees): 7.827 4.532 7.849 90.00 109.49 90.00
Space group P2/m (No. 10)
One atom of each set of equivalent atoms:
Ac  0.000  0.000  0.000 x1
Pr  0.000  0.500  0.500 x1
Ho  0.500  0.000  0.500 x1
Ho  0.500  0.500  0.000 x1
Sb  0.266  0.000  0.750 x2
Sb  0.271  0.500  0.262 x2

***

(5)
Material: SrAcHg3
Method: DFT, GGA-PBE
State: relaxed

DFT formation energy (eV per atom): -0.472
Theoretical density (kg/m3): 9752
Total magnetization (Bohr magnetons per cell): 0.0
Electronic total energy (eV/cell): -36.2

Lattice parameters (Å, degrees): 4.003 30.362 5.135 90.00 90.00 90.00
Space group Cmcm (No. 63)
One atom of each set of equivalent atoms:
Sr  0.000  0.207  0.250 x4
Ac  0.000  0.074  0.750 x4
Hg  0.000  0.323  0.250 x4
Hg  0.000  0.380  0.750 x4
Hg  0.000  0.477  0.750 x4

***

(6)
Material: YScZnPd
Method: DFT, GGA-PBE
State: relaxed

DFT formation energy (eV per atom): -0.626
Theoretical density (kg/m3): 6251
Total magnetization (Bohr magnetons per cell): 0.0
Electronic total energy (eV/cell): -21.8

Lattice parameters (Å, degrees): 3.447 3.447 6.833 90.00 90.00 90.00
Space group P4mm (No. 99)
One atom of each set of equivalent atoms:
Y  0.000  0.000  0.000 x1
Sc  0.000  0.000  0.504 x1
Zn  0.500  0.500  0.279 x1
Pd  0.500  0.500  0.724 x1

***

(7)
Material: CdPdPb2
Method: DFT, GGA-PBE
State: relaxed

DFT formation energy (eV per atom): -0.094
Theoretical density (kg/m3): 10574
Total magnetization (Bohr magnetons per cell): 0.0
Electronic total energy (eV/cell): -13.9

Lattice parameters (Å, degrees): 3.415 3.415 8.526 90.00 90.00 90.00
Space group P4/mmm (No. 123)
One atom of each set of equivalent atoms:
Cd  0.000  0.000  0.000 x1
Pd  0.000  0.000  0.500 x1
Pb  0.500  0.500  0.294 x2

***

(8)
Material: MgP2
Method: DFT, GGA-PBE
State: relaxed

DFT formation energy (eV per atom): 0.194
Theoretical density (kg/m3): 2518
Total magnetization (Bohr magnetons per cell): 0.0
Electronic total energy (eV/cell): -47.3

Lattice parameters (Å, degrees): 6.105 6.105 6.105 90.00 90.00 90.00
Space group Fm-3m (No. 225)
One atom of each set of equivalent atoms:
Mg  0.000  0.000  0.000 x4
P  0.250  0.250  0.250 x8

***

(9)
Material: Cd3Au2
Method: DFT, GGA-PBE
State: relaxed

DFT formation energy (eV per atom): -0.112
Theoretical density (kg/m3): 12264
Total magnetization (Bohr magnetons per cell): 0.0
Electronic total energy (eV/cell): -19.7
ΔE to the lowest computed polymorph (meV/atom): 71

Lattice parameters (Å, degrees): 9.989 3.130 7.438 90.00 121.64 90.00
Space group C2/m (No. 12)
One atom of each set of equivalent atoms:
Cd  0.000  0.000  0.000 x2
Cd  0.098  0.500  0.405 x4
Au  0.203  0.000  0.801 x4

***

(10)
Material: Li3PuSc4S8
Method: DFT, GGA-PBE
State: relaxed

Theoretical density (kg/m3): 3905
ΔE_f (raw) (eV/atom): -1.778
Total magnetization (Bohr magnetons per cell): 18.5
Electronic total energy (eV/cell): -320.6

Lattice parameters (Å, degrees): 7.4435 7.4435 18.6426 90.00 90.00 120.00
Space group R-3m (No. 166, hexagonal axes)
One atom of each set of equivalent atoms:
Li  0.0000  0.5000  0.0000 x9
Pu  0.0000  0.0000  0.0000 x3
Sc  0.0000  0.0000  0.5000 x3
Sc  0.0000  0.5000  0.5000 x9
S  0.0000  0.0000  0.2461 x6
S  0.0063  0.5032  0.2462 x18

***

(11)
Material: GaGeSb
Method: DFT, GGA-PBE
State: relaxed

Theoretical density (kg/m3): 5804
ΔE_f (raw) (eV/atom): 0.091
Total magnetization (Bohr magnetons per cell): 0.0
Electronic total energy (eV/cell): -23.0
ΔE to the lowest computed polymorph (meV/atom): 133

Lattice parameters (Å, degrees): 4.337 6.139 6.408 102.71 108.47 101.38
Space group P1 (No. 1)
One atom of each set of equivalent atoms:
Ga  0.000  0.000  0.000 x1
Ga  0.370  0.455  0.771 x1
Ge  0.016  0.592  0.995 x1
Ge  0.262  0.669  0.437 x1
Sb  0.683  0.241  0.219 x1
Sb  0.938  0.991  0.560 x1

***

(12)
Material: MgSnPb6
Method: DFT, GGA-PBE
State: relaxed

DFT formation energy (eV per atom): 0.007
Theoretical density (kg/m3): 9588
Total magnetization (Bohr magnetons per cell): 0.0
Electronic total energy (eV/cell): -55.6

Lattice parameters (Å, degrees): 9.903 9.993 4.852 90.00 90.00 90.00
Space group Cmmm (No. 65)
One atom of each set of equivalent atoms:
Mg  0.000  0.000  0.000 x2
Sn  0.000  0.500  0.000 x2
Pb  0.000  0.246  0.500 x4
Pb  0.246  0.000  0.500 x4
Pb  0.250  0.250  0.000 x4

***

(13)
Material: BaLa2Ag2
Method: DFT, GGA-PBE
State: relaxed

DFT formation energy (eV per atom): -0.108
Theoretical density (kg/m3): 6740
Total magnetization (Bohr magnetons per cell): 0.0
Electronic total energy (eV/cell): -36.0
ΔE to the lowest computed polymorph (meV/atom): 7

Lattice parameters (Å, degrees): 9.142 9.142 3.719 90.00 90.00 90.00
Space group P4/mbm (No. 127)
One atom of each set of equivalent atoms:
Ba  0.000  0.000  0.000 x2
La  0.132  0.368  0.000 x4
Ag  0.164  0.664  0.500 x4

***

(14)
Material: LiInF2
Method: DFT, GGA-PBE
State: relaxed

Theoretical density (kg/m3): 3098
ΔE_f (raw) (eV/atom): -2.022
Total magnetization (Bohr magnetons per cell): 0.0
Electronic total energy (eV/cell): -49.5
ΔE to the lowest computed polymorph (meV/atom): 219

Lattice parameters (Å, degrees): 3.8223 3.8223 20.3038 90.00 90.00 120.00
Space group R-3m (No. 166, hexagonal axes)
One atom of each set of equivalent atoms:
Li  0.0000  0.0000  0.0000 x3
In  0.0000  0.0000  0.5000 x3
F  0.0000  0.0000  0.0850 x6

***

(15)
Material: Rb2ReGeAs
Method: DFT, GGA-PBE
State: relaxed

DFT formation energy (eV per atom): 1.369
Theoretical density (kg/m3): 3798
Total magnetization (Bohr magnetons per cell): 4.6
Electronic total energy (eV/cell): -16.8

Lattice parameters (Å, degrees): 6.830 6.830 4.730 90.00 90.00 90.00
Space group P4/mmm (No. 123)
One atom of each set of equivalent atoms:
Rb  0.000  0.500  0.000 x2
Re  0.000  0.000  0.500 x1
Ge  0.500  0.500  0.000 x1
As  0.500  0.500  0.500 x1